## Mg2TaNi2 (GGA-PBE)

Data for crystalline Mg2TaNi2 at its relaxed geometry.

The structure in POSCAR format:
```
Mg2TaNi2
1.0
-2.765 -3.546 5.884
3.947 -6.012 -1.768
2.060 0.907 1.514
Ni Mg Ta
4 4 2
Cartesian
3.210 -4.224 0.593 Ni
2.420 -6.900 3.269 Ni
0.031 -4.427 5.038 Ni
0.821 -1.751 2.361 Ni
2.415 -6.577 0.654 Mg
0.056 -6.864 4.033 Mg
-1.233 -2.981 3.462 Mg
1.125 -2.694 0.083 Mg
0.000 0.000 0.000 Ta
0.591 -4.779 2.058 Ta
```

## Properties
- crystal system = tetragonal
- excess energy over the best structure of this formula in the dataset (meV/atom) = 118
- DFT total energy (eV per atom) = -5.207
- total magnetization (μB/cell) = 0.000



## Er2ScCl (GGA-PBE)

Data for crystalline Er2ScCl at its relaxed geometry.

The structure in POSCAR format:
```
Er2ScCl
1.0
3.334 0.000 0.000
1.667 2.887 0.000
1.667 0.962 10.866
Sc Cl Er
1 1 2
Cartesian
0.000 0.000 0.000 Sc
3.334 1.925 5.433 Cl
1.667 0.962 7.669 Er
5.001 2.887 3.197 Er
```

## Properties
- crystal system = trigonal
- DFT total energy (eV per atom) = -4.643
- total magnetization (μB/cell) = 0.779



## Ag3Sn2Hg (GGA-PBE)

Data for crystalline Ag3Sn2Hg at its relaxed geometry.

The structure in POSCAR format:
```
Ag3Sn2Hg
1.0
-0.893 -1.421 5.628
0.470 -6.570 -1.585
6.594 0.899 1.273
Ag Sn Hg
6 4 2
Cartesian
4.550 -1.599 0.410 Ag
2.040 -4.826 2.262 Ag
-0.013 -0.021 0.084 Ag
6.604 -6.403 2.587 Ag
2.487 -4.115 -0.552 Ag
4.103 -2.310 3.224 Ag
2.343 -0.374 1.902 Sn
3.800 -6.762 3.584 Sn
5.852 -4.260 4.541 Sn
0.292 -2.876 0.944 Sn
1.291 -2.672 4.218 Hg
4.853 -4.463 1.266 Hg
```

## Properties
- crystal system = orthorhombic
- DFT total energy (eV per atom) = -2.749
- total magnetization (μB/cell) = 0.000



## La2MnAgSe5 (GGA-PBE)

Data for crystalline La2MnAgSe5 at its relaxed geometry.

The structure in POSCAR format:
```
La2MnAgSe5
1.0
-3.684 -1.659 0.988
6.031 -7.451 1.221
1.510 2.959 10.602
La Mn Ag Se
4 2 2 10
Cartesian
2.512 -4.754 10.142 La
2.126 0.132 8.150 La
1.459 -1.174 3.472 La
1.669 -6.407 4.219 La
1.288 -3.994 6.851 Mn
1.840 -3.588 0.837 Mn
-1.809 -0.853 0.579 Ag
4.933 -6.736 7.082 Ag
3.014 -5.908 1.318 Se
1.287 -1.918 10.336 Se
5.332 -6.038 9.746 Se
3.351 -2.705 7.956 Se
2.375 -6.144 7.295 Se
0.114 -1.673 6.371 Se
2.895 -3.598 4.754 Se
-1.452 -0.069 3.225 Se
0.233 -3.982 2.935 Se
0.753 -1.438 0.391 Se
```

## Properties
- crystal system = orthorhombic
- DFT total energy (eV per atom) = -5.591
- total magnetization (μB/cell) = 7.862



## Pr2Sm6Y (GGA-PBE)

Data for crystalline Pr2Sm6Y at its relaxed geometry.

The structure in POSCAR format:
```
Pr2Sm6Y
1.0
-0.845 2.021 5.849
1.943 -7.553 9.216
6.830 9.030 4.192
Pr Sm Y
4 12 2
Cartesian
6.978 2.465 9.647 Pr
2.172 2.735 5.864 Pr
0.950 1.033 9.610 Pr
5.757 0.763 13.394 Pr
4.404 0.142 10.196 Sm
3.122 -0.453 6.984 Sm
3.524 3.356 9.061 Sm
4.806 3.951 12.273 Sm
3.856 -1.317 15.547 Sm
1.204 -2.474 9.149 Sm
4.072 4.815 3.710 Sm
6.724 5.971 10.108 Sm
1.501 -5.951 8.652 Sm
2.784 -5.357 11.860 Sm
6.427 9.449 10.605 Sm
5.144 8.855 7.397 Sm
5.399 5.395 6.909 Y
2.530 -1.897 12.348 Y
```

## Properties
- crystal system = monoclinic
- excess energy over the best structure of this formula in the dataset (meV/atom) = 46
- DFT total energy (eV per atom) = -4.827
- total magnetization (μB/cell) = 0.000



## NaNd3S4 (GGA-PBE)

Data for crystalline NaNd3S4 at its relaxed geometry.

The structure in POSCAR format:
```
NaNd3S4
1.0
4.061 0.000 0.000
0.000 7.057 -0.054
0.000 -2.277 6.680
Na Nd S
1 3 4
Cartesian
2.030 0.000 0.000 Na
0.000 -1.138 3.340 Nd
2.030 2.390 3.313 Nd
0.000 3.528 -0.027 Nd
0.000 1.204 1.669 S
2.030 4.735 1.621 S
0.000 3.576 4.956 S
2.030 0.045 5.005 S
```

## Properties
- crystal system = orthorhombic
- excess energy over the best structure of this formula in the dataset (meV/atom) = 21
- DFT total energy (eV per atom) = -5.930
- total magnetization (μB/cell) = 0.000